Below is AgTeS4 after structural relaxation, with properties calculated at the PBE-GGA level.

Cell lengths 3.972, 7.839, 10.243 Å; angles 90.00, 107.12, 90.00 degrees
Element x y z (fractional)
S  0.135  0.250  0.608
S  0.278  0.025  0.716
S  0.122  0.250  0.044
S  0.865  0.750  0.392
S  0.878  0.750  0.956
S  0.278  0.475  0.716
S  0.722  0.975  0.284
S  0.722  0.525  0.284
Ag  0.500  0.500  0.000
Ag  0.500  0.000  0.000
Te  0.772  0.750  0.716
Te  0.228  0.250  0.284

Values from the calculation:
energy relative to the elements, uncorrected = 13.4 kJ/mol of atoms
total DFT energy (no corrections) = -3.61 eV per atom
M_tot = 0.00 μB/cell
excess energy over the best structure of this formula in the dataset = 0 meV per atom

***

Below is Ag2Te2S5 after structural relaxation, with properties calculated at the PBE-GGA level.

Cell lengths 6.695, 8.322, 10.099 Å; angles 114.33, 109.36, 90.00 degrees
Element x y z (fractional)
S  0.576  0.289  0.719
S  0.828  0.273  0.113
S  0.172  0.160  0.887
S  0.424  0.571  0.281
S  0.643  0.789  0.719
S  0.784  0.773  0.113
S  0.990  0.657  0.500
S  0.357  0.071  0.281
S  0.010  0.157  0.500
S  0.216  0.660  0.887
Te  0.500  0.537  0.000
Te  0.307  0.312  0.500
Te  0.693  0.812  0.500
Te  0.000  0.037  0.000
Ag  0.297  0.885  0.733
Ag  0.936  0.385  0.733
Ag  0.703  0.152  0.267
Ag  0.064  0.652  0.267

Values from the calculation:
energy relative to the elements, uncorrected = 4.3 kJ/mol of atoms
total DFT energy (no corrections) = -3.58 eV per atom
M_tot = 0.00 μB/cell
excess energy over the best structure of this formula in the dataset = 0 meV per atom

***

Below is AgTe2S after structural relaxation, with properties calculated at the PBE-GGA level.

Cell lengths 3.924, 4.495, 7.215 Å; angles 71.82, 90.00, 115.88 degrees
Element x y z (fractional)
Te  0.214  0.427  0.279
Te  0.974  0.947  0.982
S  0.834  0.667  0.732
Ag  0.479  0.959  0.508

Values from the calculation:
energy relative to the elements, uncorrected = 5.8 kJ/mol of atoms
total DFT energy (no corrections) = -3.26 eV per atom
M_tot = 0.00 μB/cell

***

Below is AgTe2S2 after structural relaxation, with properties calculated at the PBE-GGA level.

Cell lengths 4.641, 4.641, 6.817 Å; angles 70.10, 70.10, 90.00 degrees
Element x y z (fractional)
Ag  0.000  0.000  0.000
Te  0.620  0.620  0.761
Te  0.380  0.380  0.239
S  0.750  0.250  0.500
S  0.250  0.750  0.500

Values from the calculation:
energy relative to the elements, uncorrected = 63.1 kJ/mol of atoms
total DFT energy (no corrections) = -2.82 eV per atom
M_tot = 0.00 μB/cell
excess energy over the best structure of this formula in the dataset = 485 meV per atom

***

Question: energy relative to the elements, uncorrected of number 1 (AgTeS4)?
Answer: 13.4 kJ/mol of atoms

***

Question: What is the formula in the fourth record?
Answer: AgTe2S2

***

Please write out number 2 again, unchanged.
Below is Ag2Te2S5 after structural relaxation, with properties calculated at the PBE-GGA level.

Cell lengths 6.695, 8.322, 10.099 Å; angles 114.33, 109.36, 90.00 degrees
Element x y z (fractional)
S  0.576  0.289  0.719
S  0.828  0.273  0.113
S  0.172  0.160  0.887
S  0.424  0.571  0.281
S  0.643  0.789  0.719
S  0.784  0.773  0.113
S  0.990  0.657  0.500
S  0.357  0.071  0.281
S  0.010  0.157  0.500
S  0.216  0.660  0.887
Te  0.500  0.537  0.000
Te  0.307  0.312  0.500
Te  0.693  0.812  0.500
Te  0.000  0.037  0.000
Ag  0.297  0.885  0.733
Ag  0.936  0.385  0.733
Ag  0.703  0.152  0.267
Ag  0.064  0.652  0.267

Values from the calculation:
energy relative to the elements, uncorrected = 4.3 kJ/mol of atoms
total DFT energy (no corrections) = -3.58 eV per atom
M_tot = 0.00 μB/cell
excess energy over the best structure of this formula in the dataset = 0 meV per atom